An optimized crystal structure of LaPuRuPt, computed with PBE-GGA.

abc: 4.988 4.988 4.988
angles: 60.00 60.00 60.00
Site moments in Bohr magnetons follow the coordinates.
Positions (direct):
Pu: 0.500 0.500 0.500  5.06
Ru: 0.250 0.250 0.250  -0.74
Pt: 0.750 0.750 0.750  -0.14
La: 0.000 0.000 0.000  0.07

Total moment ... 1.12 μB/atom
Formation energy from the elements ... -0.44 eV/atom
E ... -9.080 eV per atom